Record 1
Material: Pm7NdY4
Method: DFT, PBE
State: relaxed

a b c (Å): 6.341 7.316 9.022
angles (deg): 89.99 76.34 89.97
Space group P-1 (No. 2)
Inequivalent atoms, fractional coordinates:
Pm 0.000 0.000 0.000 x1
Pm 0.222 0.500 0.334 x2
Pm 0.279 0.750 0.665 x2
Pm 0.499 0.752 0.000 x2
Nd 0.000 0.500 0.000 x1
Y 0.220 0.000 0.334 x2
Y 0.279 0.247 0.666 x2

- energy above the most stable polymorph in this dataset (kJ per mole of atoms) = 0.0
- total DFT energy (no corrections) (eV/cell) = -63.9
- DOS(E_F) (states/eV/atom) = 1.434
- DFT formation energy (eV per atom) = 0.00
- magnetic moment (μB per atom) = 0.000
- mass density (Mg/m³) = 6.19

***

Record 2
Material: MgSc5
Method: DFT, PBE
State: relaxed

a b c (Å): 4.554 13.999 4.560
angles (deg): 90.00 90.00 90.00
Space group Cmmm (No. 65)
Inequivalent atoms, fractional coordinates:
Mg 0.000 0.000 0.000 x2
Sc 0.000 0.171 0.500 x4
Sc 0.000 0.334 0.000 x4
Sc 0.000 0.500 0.500 x2

- energy above the most stable polymorph in this dataset (kJ per mole of atoms) = 3.0
- total DFT energy (no corrections) (eV/cell) = -66.1
- DOS(E_F) (states/eV/atom) = 2.067
- DFT formation energy (eV per atom) = 0.03
- magnetic moment (μB per atom) = 0.001
- mass density (Mg/m³) = 2.85

***

Record 3
Material: CeSmTlHg
Method: DFT, PBE
State: relaxed

a b c (Å): 7.710 7.710 7.710
angles (deg): 90.00 90.00 90.00
Space group F-43m (No. 216)
Inequivalent atoms, fractional coordinates:
Ce 0.000 0.000 0.000 x4
Sm 0.000 0.000 0.500 x4
Tl 0.250 0.250 0.250 x4
Hg 0.250 0.250 0.750 x4

- energy above the most stable polymorph in this dataset (kJ per mole of atoms) = 0.7
- total DFT energy (no corrections) (eV/cell) = -58.6
- DOS(E_F) (states/eV/atom) = 2.494
- DFT formation energy (eV per atom) = -0.33
- magnetic moment (μB per atom) = 0.492
- mass density (Mg/m³) = 10.08

***

Record 4
Material: ZnCoRh
Method: DFT, PBE
State: relaxed

a b c (Å): 4.1282 4.1282 2.6791
angles (deg): 90.00 90.00 120.00
Space group P3m1 (No. 156)
Inequivalent atoms, fractional coordinates:
Zn 0.0000 0.0000 0.0000 x1
Co 0.6667 0.3333 0.2264 x1
Rh 0.3333 0.6667 0.6053 x1

- energy above the most stable polymorph in this dataset (kJ per mole of atoms) = 8.5
- total DFT energy (no corrections) (eV/cell) = -15.8
- DOS(E_F) (states/eV/atom) = 0.598
- DFT formation energy (eV per atom) = -0.01
- magnetic moment (μB per atom) = 0.801
- mass density (Mg/m³) = 9.54

***

Record 5
Material: LiNdSmSn
Method: DFT, PBE
State: relaxed

a b c (Å): 7.579 7.579 7.579
angles (deg): 90.00 90.00 90.00
Space group F-43m (No. 216)
Inequivalent atoms, fractional coordinates:
Li 0.000 0.000 0.000 x4
Nd 0.250 0.250 0.750 x4
Sm 0.250 0.250 0.250 x4
Sn 0.000 0.000 0.500 x4

- total DFT energy (no corrections) (eV/cell) = -68.7
- DOS(E_F) (states/eV/atom) = 0.735
- DFT formation energy (eV per atom) = -0.44
- magnetic moment (μB per atom) = 0.000
- mass density (Mg/m³) = 6.41

***

Record 6
Material: YTm3Sb3
Method: DFT, PBE
State: relaxed

a b c (Å): 9.113 9.113 9.113
angles (deg): 90.00 90.00 90.00
Space group P2_13 (No. 198)
Inequivalent atoms, fractional coordinates:
Y 0.072 0.428 0.572 x4
Tm 0.075 0.575 0.925 x4
Tm 0.177 0.823 0.323 x4
Tm 0.178 0.178 0.178 x4
Sb 0.001 0.253 0.876 x12

- energy above the most stable polymorph in this dataset (kJ per mole of atoms) = 0.0
- total DFT energy (no corrections) (eV/cell) = -155.4
- DOS(E_F) (states/eV/atom) = 0.955
- raw formation energy (eV per atom) = -0.945
- magnetic moment (μB per atom) = 0.000
- mass density (Mg/m³) = 8.43

***

Record 7
Material: AsRh2O6
Method: DFT, PBE
State: relaxed

a b c (Å): 4.535 4.535 9.197
angles (deg): 90.00 90.00 90.00
Space group P4_2/mnm (No. 136)
Inequivalent atoms, fractional coordinates:
As 0.000 0.000 0.000 x2
Rh 0.000 0.000 0.333 x4
O 0.189 0.189 0.159 x8
O 0.204 0.204 0.500 x4

- energy above the most stable polymorph in this dataset (kJ per mole of atoms) = 1.0
- total DFT energy (no corrections) (eV/cell) = -113.7
- DOS(E_F) (states/eV/atom) = 0.622
- raw formation energy (eV per atom) = -0.859
- magnetic moment (μB per atom) = 0.001
- mass density (Mg/m³) = 6.62

***

Record 8
Material: CaIrW2
Method: DFT, PBE
State: relaxed

a b c (Å): 2.802 2.802 9.199
angles (deg): 90.00 90.00 90.00
Space group P4/mmm (No. 123)
Inequivalent atoms, fractional coordinates:
Ca 0.000 0.000 0.000 x1
Ir 0.000 0.000 0.500 x1
W 0.500 0.500 0.289 x2

- energy above the most stable polymorph in this dataset (kJ per mole of atoms) = 17.9
- total DFT energy (no corrections) (eV/cell) = -34.9
- DOS(E_F) (states/eV/atom) = 1.222
- DFT formation energy (eV per atom) = 0.48
- magnetic moment (μB per atom) = 0.000
- mass density (Mg/m³) = 13.79